(1)
DFT (GGA-PBE) results for crystalline NaCuTe at its relaxed geometry.

abc: 5.9159 5.9159 5.9159
angles: 141.84 141.84 55.08
Fractional positions:
Na: 0.0000 0.0000 0.0000
Cu: 0.2567 0.2567 0.0000
Te: 0.7165 0.7165 0.0000

Summary:
Space group = I4mm
VASP energy = -9.039 eV for the cell shown
Raw formation energy = -0.1607 eV per atom

(2)
DFT (GGA-PBE) results for crystalline K2CaMg at its relaxed geometry.

abc: 3.9233 3.9233 12.3593
angles: 90.00 90.00 90.74
Fractional positions:
K: 0.0000 0.0000 0.2227
K: 0.0000 0.0000 0.7773
Ca: 0.5000 0.5000 0.5000
Mg: 0.5000 0.5000 0.0000

Summary:
Space group = Cmmm
VASP energy = -4.897 eV for the cell shown
Calculated formation energy = 21.6 kJ/mol of atoms

(3)
DFT (GGA-PBE) results for crystalline ZrReAu at its relaxed geometry.

abc: 2.8583 2.8583 7.5458
angles: 90.00 90.00 120.00
Fractional positions:
Zr: 0.0000 0.0000 0.0000
Re: 0.6667 0.3333 0.6609
Au: 0.3333 0.6667 0.3421

Summary:
Space group = P3m1
VASP energy = -23.590 eV for the cell shown
Calculated formation energy = 22.0 kJ/mol of atoms
Offset from the most stable computed form = 145.7 meV per atom

(4)
DFT (GGA-PBE) results for crystalline NdZn3Au at its relaxed geometry.

abc: 5.7099 5.4955 6.1962
angles: 90.00 91.44 90.00
Fractional positions:
Nd: 0.1564 0.2500 0.1699
Nd: 0.8436 0.7500 0.8301
Zn: 0.0656 0.7500 0.3824
Zn: 0.3468 0.0064 0.6601
Zn: 0.3468 0.4936 0.6601
Zn: 0.6532 0.5064 0.3399
Zn: 0.6532 0.9936 0.3399
Zn: 0.9344 0.2500 0.6176
Au: 0.3530 0.7500 0.0414
Au: 0.6470 0.2500 0.9586

Summary:
Space group = P2_1/m
VASP energy = -27.814 eV for the cell shown
Calculated formation energy = -39.4 kJ/mol of atoms
Offset from the most stable computed form = 23.0 meV per atom

(5)
DFT (GGA-PBE) results for crystalline Nb3NiSb at its relaxed geometry.

abc: 5.0043 5.0043 5.0043
angles: 90.00 90.00 90.00
Fractional positions:
Nb: 0.0000 0.0000 0.5000
Nb: 0.0000 0.5000 0.0000
Nb: 0.5000 0.0000 0.0000
Ni: 0.5000 0.5000 0.5000
Sb: 0.0000 0.0000 0.0000

Summary:
Space group = Pm-3m
VASP energy = -31.008 eV for the cell shown
Offset from the most stable computed form = 1282.1 meV per atom
Raw formation energy = 1.8211 eV per atom

(6)
DFT (GGA-PBE) results for crystalline Pr3HoTh at its relaxed geometry.

abc: 6.3470 5.9434 9.7457
angles: 90.00 108.96 90.00
Fractional positions:
Pr: 0.1480 0.2500 0.0959
Pr: 0.2695 0.7500 0.7117
Pr: 0.3318 0.2500 0.5086
Pr: 0.6682 0.7500 0.4914
Pr: 0.7305 0.2500 0.2883
Pr: 0.8520 0.7500 0.9041
Ho: 0.0710 0.7500 0.2990
Ho: 0.9290 0.2500 0.7010
Th: 0.4757 0.7500 0.0996
Th: 0.5243 0.2500 0.9004

Summary:
Space group = P2_1/m
VASP energy = -52.063 eV for the cell shown
Calculated formation energy = 5.9 kJ/mol of atoms
Offset from the most stable computed form = 0.0 meV per atom

(7)
DFT (GGA-PBE) results for crystalline Cs2HfGaAg at its relaxed geometry.

abc: 7.4210 7.4210 5.1049
angles: 90.00 90.00 90.00
Fractional positions:
Cs: 0.0000 0.5000 0.0000
Cs: 0.5000 0.0000 0.0000
Hf: 0.0000 0.0000 0.0000
Ga: 0.0000 0.0000 0.5000
Ag: 0.5000 0.5000 0.5000

Summary:
Space group = P4/mmm
VASP energy = -12.727 eV for the cell shown
Calculated formation energy = 92.8 kJ/mol of atoms

(8)
DFT (GGA-PBE) results for crystalline In2AuBr at its relaxed geometry.

abc: 5.3416 5.3416 5.3416
angles: 60.00 60.00 60.00
Fractional positions:
In: 0.2500 0.2500 0.2500
In: 0.7500 0.7500 0.7500
Au: 0.0000 0.0000 0.0000
Br: 0.5000 0.5000 0.5000

Summary:
Space group = Fm-3m
VASP energy = -11.195 eV for the cell shown
Offset from the most stable computed form = 151.8 meV per atom
Raw formation energy = -0.1919 eV per atom

(9)
DFT (GGA-PBE) results for crystalline ZnP2NO at its relaxed geometry.

abc: 3.9645 3.9645 3.8536
angles: 90.00 90.00 90.00
Fractional positions:
Zn: 0.0000 0.0000 0.0000
P: 0.0000 0.5000 0.5000
P: 0.5000 0.0000 0.5000
N: 0.5000 0.5000 0.5000
O: 0.5000 0.5000 0.0000

Summary:
Space group = P4/mmm
VASP energy = -20.657 eV for the cell shown
Offset from the most stable computed form = 0.0 meV per atom
Raw formation energy = 0.9441 eV per atom

(10)
DFT (GGA-PBE) results for crystalline CdAuS4 at its relaxed geometry.

abc: 5.1529 11.3660 5.8150
angles: 90.00 108.01 90.00
Fractional positions:
Cd: 0.0000 0.1634 0.2500
Cd: 0.0000 0.8366 0.7500
Au: 0.5000 0.3314 0.7500
Au: 0.5000 0.6686 0.2500
S: 0.3041 0.0191 0.9478
S: 0.3041 0.9809 0.4478
S: 0.3378 0.3436 0.3261
S: 0.3378 0.6564 0.8261
S: 0.6622 0.3436 0.1739
S: 0.6622 0.6564 0.6739
S: 0.6959 0.0191 0.5522
S: 0.6959 0.9809 0.0522

Summary:
Space group = P2/c
VASP energy = -41.137 eV for the cell shown
Raw formation energy = 0.0223 eV per atom

(11)
DFT (GGA-PBE) results for crystalline AsPC2 at its relaxed geometry.

abc: 6.0762 6.0762 6.0762
angles: 152.91 151.43 39.78
Fractional positions:
As: 0.0000 0.0000 0.0000
P: 0.2831 0.2831 0.0000
C: 0.3816 0.8816 0.5000
C: 0.6997 0.1997 0.5000

Summary:
Space group = Imm2
VASP energy = -24.912 eV for the cell shown
Calculated formation energy = 86.7 kJ/mol of atoms
Offset from the most stable computed form = 355.6 meV per atom

(12)
DFT (GGA-PBE) results for crystalline NdHo2FeN4 at its relaxed geometry.

abc: 5.9476 5.9476 11.4946
angles: 90.00 90.00 146.80
Fractional positions:
Nd: 0.1139 0.8861 0.7500
Nd: 0.8861 0.1139 0.2500
Ho: 0.3681 0.6319 0.5449
Ho: 0.3681 0.6319 0.9551
Ho: 0.6319 0.3681 0.0449
Ho: 0.6319 0.3681 0.4551
Fe: 0.1563 0.8437 0.2500
Fe: 0.8437 0.1563 0.7500
N: 0.0000 0.0000 0.0000
N: 0.0000 0.0000 0.5000
N: 0.2667 0.7333 0.1290
N: 0.2667 0.7333 0.3710
N: 0.4143 0.5857 0.7500
N: 0.5857 0.4143 0.2500
N: 0.7333 0.2667 0.6290
N: 0.7333 0.2667 0.8710

Summary:
Space group = Cmcm
VASP energy = -129.613 eV for the cell shown
Raw formation energy = -1.1399 eV per atom